Computed, not measured: a relaxed La7BiI12 crystal at the PBE-GGA level of DFT.

N(E_F), states/eV per atom: 0.4976
Theoretical density, Mg/m³: 5.2
Symmetry: R-3 (148)
E, eV/cell: -84.2

Cell and atoms, written as CIF:
```
data_La7BiI12
_cell_length_a 10.268
_cell_length_b 10.268
_cell_length_c 10.268
_cell_angle_alpha 108.36
_cell_angle_beta 108.36
_cell_angle_gamma 108.36
_symmetry_space_group_name_H-M 'P 1'
_symmetry_Int_Tables_number 1
_symmetry_space_group_name_Hall 'P 1'
loop_
_atom_site_label
_atom_site_type_symbol
_atom_site_fract_x
_atom_site_fract_y
_atom_site_fract_z
La1 La 0.000 0.000 0.000
La2 La 0.161 0.455 0.382
La3 La 0.382 0.161 0.455
La4 La 0.455 0.382 0.161
La5 La 0.545 0.618 0.839
La6 La 0.618 0.839 0.545
La7 La 0.839 0.545 0.618
Bi1 Bi 0.500 0.500 0.500
I1 I 0.024 0.103 0.343
I2 I 0.103 0.343 0.024
I3 I 0.193 0.578 0.731
I4 I 0.269 0.807 0.422
I5 I 0.343 0.024 0.103
I6 I 0.422 0.269 0.807
I7 I 0.578 0.731 0.193
I8 I 0.657 0.976 0.897
I9 I 0.731 0.193 0.578
I10 I 0.807 0.422 0.269
I11 I 0.897 0.657 0.976
I12 I 0.976 0.897 0.657
```

---

Computed, not measured: a relaxed La4Bi3I crystal at the PBE-GGA level of DFT.

N(E_F), states/eV per atom: 0.3828
Theoretical density, Mg/m³: 7.5
Symmetry: I4/mmm (139)
E, eV/cell: -41.5

Cell and atoms, written as CIF:
```
data_La4Bi3I
_cell_length_a 8.112
_cell_length_b 8.112
_cell_length_c 8.112
_cell_angle_alpha 131.89
_cell_angle_beta 131.89
_cell_angle_gamma 70.40
_symmetry_space_group_name_H-M 'P 1'
_symmetry_Int_Tables_number 1
_symmetry_space_group_name_Hall 'P 1'
loop_
_atom_site_label
_atom_site_type_symbol
_atom_site_fract_x
_atom_site_fract_y
_atom_site_fract_z
La1 La 0.000 0.500 0.500
La2 La 0.243 0.243 0.000
La3 La 0.500 0.000 0.500
La4 La 0.757 0.757 0.000
Bi1 Bi 0.000 0.000 0.000
Bi2 Bi 0.250 0.750 0.500
Bi3 Bi 0.750 0.250 0.500
I1 I 0.500 0.500 0.000
```

---

Computed, not measured: a relaxed La2BiI crystal at the PBE-GGA level of DFT.

N(E_F), states/eV per atom: 0.7538
Theoretical density, Mg/m³: 7.2
Symmetry: R-3m (166)
E, eV/cell: -19.5

Cell and atoms, written as CIF:
```
data_La2BiI
_cell_length_a 7.859
_cell_length_b 7.859
_cell_length_c 7.859
_cell_angle_alpha 34.99
_cell_angle_beta 34.99
_cell_angle_gamma 34.99
_symmetry_space_group_name_H-M 'P 1'
_symmetry_Int_Tables_number 1
_symmetry_space_group_name_Hall 'P 1'
loop_
_atom_site_label
_atom_site_type_symbol
_atom_site_fract_x
_atom_site_fract_y
_atom_site_fract_z
La1 La 0.247 0.247 0.247
La2 La 0.753 0.753 0.753
Bi1 Bi 0.500 0.500 0.500
I1 I 0.000 0.000 0.000
```

---

Computed, not measured: a relaxed La2BiI2 crystal at the PBE-GGA level of DFT.

N(E_F), states/eV per atom: 0.4958
Theoretical density, Mg/m³: 5.8
Symmetry: R-3m (166)
E, eV/cell: -23.4

Cell and atoms, written as CIF:
```
data_La2BiI2
_cell_length_a 11.854
_cell_length_b 11.854
_cell_length_c 11.854
_cell_angle_alpha 22.49
_cell_angle_beta 22.49
_cell_angle_gamma 22.49
_symmetry_space_group_name_H-M 'P 1'
_symmetry_Int_Tables_number 1
_symmetry_space_group_name_Hall 'P 1'
loop_
_atom_site_label
_atom_site_type_symbol
_atom_site_fract_x
_atom_site_fract_y
_atom_site_fract_z
La1 La 0.113 0.113 0.113
La2 La 0.887 0.887 0.887
Bi1 Bi 0.500 0.500 0.500
I1 I 0.277 0.277 0.277
I2 I 0.723 0.723 0.723
```

---

Computed, not measured: a relaxed LaBi3I crystal at the PBE-GGA level of DFT.

N(E_F), states/eV per atom: 0.7636
Theoretical density, Mg/m³: 7.3
Symmetry: Pm-3m (221)
E, eV/cell: -16.0

Cell and atoms, written as CIF:
```
data_LaBi3I
_cell_length_a 5.872
_cell_length_b 5.872
_cell_length_c 5.872
_cell_angle_alpha 90.00
_cell_angle_beta 90.00
_cell_angle_gamma 90.00
_symmetry_space_group_name_H-M 'P 1'
_symmetry_Int_Tables_number 1
_symmetry_space_group_name_Hall 'P 1'
loop_
_atom_site_label
_atom_site_type_symbol
_atom_site_fract_x
_atom_site_fract_y
_atom_site_fract_z
La1 La 0.000 0.000 0.000
Bi1 Bi 0.000 0.500 0.500
Bi2 Bi 0.500 0.000 0.500
Bi3 Bi 0.500 0.500 0.000
I1 I 0.500 0.500 0.500
```

---

Computed, not measured: a relaxed La3Bi2I2 crystal at the PBE-GGA level of DFT.

N(E_F), states/eV per atom: 0.4162
Theoretical density, Mg/m³: 6.4
Symmetry: C2/m (12)
E, eV/cell: -33.5

Cell and atoms, written as CIF:
```
data_La3Bi2I2
_cell_length_a 8.018
_cell_length_b 8.018
_cell_length_c 8.081
_cell_angle_alpha 99.44
_cell_angle_beta 99.44
_cell_angle_gamma 33.60
_symmetry_space_group_name_H-M 'P 1'
_symmetry_Int_Tables_number 1
_symmetry_space_group_name_Hall 'P 1'
loop_
_atom_site_label
_atom_site_type_symbol
_atom_site_fract_x
_atom_site_fract_y
_atom_site_fract_z
La1 La 0.000 0.000 0.000
La2 La 0.249 0.249 0.770
La3 La 0.751 0.751 0.230
Bi1 Bi 0.381 0.381 0.139
Bi2 Bi 0.619 0.619 0.861
I1 I 0.126 0.126 0.381
I2 I 0.874 0.874 0.619
```

---

Computed, not measured: a relaxed La2BiI crystal at the PBE-GGA level of DFT.

N(E_F), states/eV per atom: 0.6228
Theoretical density, Mg/m³: 7.0
Symmetry: R3m (160)
E, eV/cell: -19.4

Cell and atoms, written as CIF:
```
data_La2BiI
_cell_length_a 8.598
_cell_length_b 8.598
_cell_length_c 8.598
_cell_angle_alpha 30.57
_cell_angle_beta 30.57
_cell_angle_gamma 30.57
_symmetry_space_group_name_H-M 'P 1'
_symmetry_Int_Tables_number 1
_symmetry_space_group_name_Hall 'P 1'
loop_
_atom_site_label
_atom_site_type_symbol
_atom_site_fract_x
_atom_site_fract_y
_atom_site_fract_z
La1 La 0.000 0.000 0.000
La2 La 0.182 0.182 0.182
Bi1 Bi 0.590 0.590 0.590
I1 I 0.758 0.758 0.758
```

---

Computed, not measured: a relaxed LaMg2BiI crystal at the PBE-GGA level of DFT.

N(E_F), states/eV per atom: 0.8374
Theoretical density, Mg/m³: 3.5
Symmetry: P4/mmm (123)
E, eV/cell: -10.9

Cell and atoms, written as CIF:
```
data_LaMg2BiI
_cell_length_a 6.408
_cell_length_b 6.408
_cell_length_c 5.974
_cell_angle_alpha 90.00
_cell_angle_beta 90.00
_cell_angle_gamma 90.00
_symmetry_space_group_name_H-M 'P 1'
_symmetry_Int_Tables_number 1
_symmetry_space_group_name_Hall 'P 1'
loop_
_atom_site_label
_atom_site_type_symbol
_atom_site_fract_x
_atom_site_fract_y
_atom_site_fract_z
La1 La 0.000 0.000 0.000
Mg1 Mg 0.000 0.500 0.000
Mg2 Mg 0.500 0.000 0.000
Bi1 Bi 0.500 0.500 0.500
I1 I 0.000 0.000 0.500
```

---

no.,raw formation energy (eV per atom)
1,-1.360
2,-1.076
3,-1.044
4,-1.312
5,0.414
6,-1.122
7,-1.017
8,0.538